Below is crystalline LaMn2Bi at its relaxed geometry, with properties calculated at the GGA-PBE level.

- total moment (μB/f.u.) = 7.62
- volume (Å³/cell) = 217.5
- formation energy (eV/atom) = 0.397

Cell: 4.677 4.677 10.482 Å, 77.11 77.11 90.00°
Site moments in Bohr magnetons follow the coordinates.
Sites, in units of the cell vectors:
Mn 0.732 0.125 0.250  3.69
Mn 0.018 0.625 0.250  3.69
Mn 0.375 0.268 0.750  3.62
Mn 0.875 0.982 0.750  3.67
Bi 0.000 0.000 0.000  -0.05
Bi 0.750 0.250 0.500  -0.05
La 0.500 0.500 0.000  -0.06
La 0.250 0.750 0.500  -0.06

=====

Below is crystalline LaMn3Bi at its relaxed geometry, with properties calculated at the GGA-PBE level.

- total moment (μB/f.u.) = 9.44
- ΔE to the lowest computed polymorph (eV per formula unit) = 0.00
- volume (Å³/cell) = 132.5
- formation energy (eV/atom) = 0.840

Cell: 5.098 5.098 5.098 Å, 90.00 90.00 90.00°
Site moments in Bohr magnetons follow the coordinates.
Sites, in units of the cell vectors:
Mn 0.000 0.500 0.000  3.58
Mn 0.000 0.000 0.500  3.47
Mn 0.500 0.000 0.000  3.46
Bi 0.000 0.000 0.000  -0.16
La 0.500 0.500 0.500  -0.44

=====

Below is crystalline LaMnNbBi2 at its relaxed geometry, with properties calculated at the GGA-PBE level.

- total moment (μB/f.u.) = 3.39
- volume (Å³/cell) = 148.3
- formation energy (eV/atom) = 0.233

Cell: 5.543 4.825 5.543 Å, 90.00 90.00 90.00°
Site moments in Bohr magnetons follow the coordinates.
Sites, in units of the cell vectors:
Nb 0.000 0.000 0.000  -0.54
Mn 0.000 0.500 0.000  3.51
Bi 0.000 0.000 0.500  0.06
Bi 0.500 0.000 0.000  0.09
La 0.500 0.500 0.500  -0.01